No. 1
BaSr2AgHg, relaxed, DFT PBE-GGA; total DFT energy (no corrections) = -0.93 eV/atom; total magnetic moment = 0.2282 μB/atom; formation enthalpy at 0 K = 0.761 eV per atom
1.0
-5.272 1.434 -4.360
-1.734 -5.718 0.216
-4.117 1.455 5.457
Sr Ag Hg Ba
2 1 1 1
direct
0.000 0.000 0.500
0.500 0.000 0.000
0.500 0.500 0.500
0.000 0.500 0.000
0.000 0.000 0.000

=====

No. 2
BaSrIn2Hg, relaxed, DFT PBE-GGA; total DFT energy (no corrections) = -1.23 eV/atom; total magnetic moment = 0.0000 μB/atom; formation enthalpy at 0 K = 0.648 eV per atom
1.0
6.338 0.000 0.000
0.000 7.370 0.000
0.000 0.000 6.338
Hg In Ba Sr
1 2 1 1
direct
0.500 0.500 0.500
0.000 0.000 0.500
0.500 0.000 0.000
0.000 0.000 0.000
0.000 0.500 0.000

=====

Question: Which formula does entry 1 have?
Answer: BaSr2AgHg

=====

Question: What is the total magnetic moment in the first record?
Answer: 0.2282 μB/atom